1.
This record from Alexandria describes crystalline GeSe2O6 at its relaxed geometry. The functional is PBE.

Computed properties:
Relative energy among the computed polymorphs ... 124 meV per atom
SG ... R3, No. 146

abc: 4.8543 4.8543 7.2552
angles: 70.46 70.46 60.00
Sites, in units of the cell vectors:
Ge  0.6669  0.6669  0.9994
Se  0.2416  0.2416  0.2753
Se  0.4254  0.4254  0.7239
O  0.5907  0.3027  0.1746
O  0.3027  0.9320  0.1746
O  0.9320  0.5907  0.1746
O  0.4188  0.7075  0.8249
O  0.7075  0.0489  0.8249
O  0.0489  0.4188  0.8249



2.
This record from Alexandria describes crystalline Ge2SeO at its relaxed geometry. The functional is PBE.

Computed properties:
Relative energy among the computed polymorphs ... 0 meV per atom
SG ... R-3m, No. 166

abc: 4.8592 4.8592 5.7237
angles: 64.88 64.88 60.00
Sites, in units of the cell vectors:
Ge  0.1198  0.1198  0.6406
Ge  0.8802  0.8802  0.3594
O  0.0000  0.0000  0.0000
Se  0.5000  0.5000  0.5000



3.
This record from Alexandria describes crystalline GeSeO2 at its relaxed geometry. The functional is PBE.

Computed properties:
Relative energy among the computed polymorphs ... 0 meV per atom
SG ... I-42d, No. 122

abc: 5.6430 5.6430 5.6328
angles: 59.94 59.94 90.00
Sites, in units of the cell vectors:
Ge  0.5000  0.5000  0.0000
Ge  0.2500  0.7500  0.5000
O  0.4234  0.1250  0.2500
O  0.3266  0.6250  0.2500
O  0.3750  0.5766  0.7500
O  0.8750  0.6734  0.7500
Se  0.0000  0.0000  0.0000
Se  0.7500  0.2500  0.5000



4.
This record from Alexandria describes crystalline GeSeO at its relaxed geometry. The functional is PBE.

Computed properties:
Relative energy among the computed polymorphs ... 220 meV per atom
SG ... Pm, No. 6

abc: 3.1643 3.7100 5.6933
angles: 90.00 102.36 90.00
Sites, in units of the cell vectors:
Ge  0.5528  0.5000  0.3951
Se  0.6673  0.0000  0.6800
O  0.9871  0.5000  0.2251



5.
This record from Alexandria describes crystalline GeSeO at its relaxed geometry. The functional is PBE.

Computed properties:
Relative energy among the computed polymorphs ... 48 meV per atom
SG ... I2_12_12_1, No. 24

abc: 6.3023 8.7985 5.0418
angles: 90.00 90.00 90.00
Sites, in units of the cell vectors:
Ge  0.2500  0.8838  0.0000
Ge  0.2500  0.1162  0.5000
Ge  0.7500  0.6162  0.0000
Ge  0.7500  0.3838  0.5000
Se  0.0000  0.2500  0.7638
Se  0.0000  0.7500  0.7362
Se  0.5000  0.2500  0.2362
Se  0.5000  0.7500  0.2638
O  0.1248  0.0000  0.2500
O  0.3752  0.0000  0.7500
O  0.8752  0.5000  0.2500
O  0.6248  0.5000  0.7500



6.
This record from Alexandria describes crystalline Ge4Se3O at its relaxed geometry. The functional is PBE.

Computed properties:
SG ... Pmn2_1, No. 31

abc: 5.8703 6.8551 9.6482
angles: 90.00 90.00 90.00
Sites, in units of the cell vectors:
Ge  0.0944  0.9094  0.0000
Ge  0.5552  0.2501  0.0000
Ge  0.0318  0.3034  0.1747
Ge  0.5318  0.6966  0.3253
Ge  0.0552  0.7499  0.5000
Ge  0.5944  0.0906  0.5000
Ge  0.5318  0.6966  0.6747
Ge  0.0318  0.3034  0.8253
Se  0.6677  0.8971  0.0000
Se  0.1342  0.6696  0.2104
Se  0.6342  0.3304  0.2896
Se  0.1677  0.1029  0.5000
Se  0.6342  0.3304  0.7104
Se  0.1342  0.6696  0.7896
O  0.8659  0.3604  0.0000
O  0.3659  0.6396  0.5000



Number 1: raw total energy -5.5065 eV per atom, E_form (uncorrected) -0.914 eV/atom. Number 2: raw total energy -4.8652 eV per atom, E_form (uncorrected) -0.446 eV/atom. Number 3: raw total energy -5.0579 eV per atom, E_form (uncorrected) -0.553 eV/atom. Number 4: raw total energy -5.0432 eV per atom, E_form (uncorrected) -0.690 eV/atom. Number 5: raw total energy -5.2144 eV per atom, E_form (uncorrected) -0.861 eV/atom. Number 6: raw total energy -4.6237 eV per atom, E_form (uncorrected) -0.389 eV/atom.